No. 1
Below is Cd2Cu3Pd8 after structural relaxation, with properties calculated at the PBE level.

Uncorrected energy   -55.91 eV per cell
Space-group type   C2/m (12)

```
Cd2Cu3Pd8
1.0
6.701 -3.396 0.000
6.701 3.396 0.000
-0.007 0.000 4.680
Cd Cu Pd
2 3 8
Direct
0.160 0.160 0.281
0.840 0.840 0.719
0.324 0.676 0.500
0.500 0.500 0.000
0.676 0.324 0.500
0.043 0.043 0.758
0.123 0.539 0.187
0.328 0.328 0.692
0.461 0.877 0.813
0.539 0.123 0.187
0.672 0.672 0.308
0.877 0.461 0.813
0.957 0.957 0.242
```

No. 2
Below is CrReOs2 after structural relaxation, with properties calculated at the PBE level.

Energy above the lowest structure with this stoichiometry   19.8 kJ/mol of formula units
Uncorrected energy   -88.05 eV per cell
Space-group type   Amm2 (38)

```
CrReOs2
1.0
4.128 0.000 0.000
0.000 2.724 0.000
0.000 0.000 9.994
Cr Re Os
2 2 4
Direct
0.000 0.000 0.000
0.000 0.500 0.500
0.500 0.000 0.873
0.500 0.500 0.373
0.000 0.000 0.256
0.000 0.500 0.756
0.500 0.000 0.608
0.500 0.500 0.108
```

Number 1: total moment 0.000 μB/atom. Number 2: total moment 0.000 μB/atom.